Compound: SmAl2Ni2Pt
Source: Alexandria via LeMat-Bulk
Functional: PBE
Structure: optimized geometry

Properties
Electronic total energy (eV/cell): -31.3
Symmetry: P4/mmm
Formation energy (eV/atom): -0.243
Fermi-level density of states (states/eV/f.u.): 2.41

Cell and atoms, written as POSCAR:
```
SmAl2Ni2Pt
1.0
4.643 0.000 0.000
0.000 4.643 0.000
0.000 0.000 5.440
Sm Al Ni Pt
1 2 2 1
direct
0.000 0.000 0.000
0.000 0.500 0.500
0.500 0.000 0.500
0.500 0.500 0.241
0.500 0.500 0.759
0.000 0.000 0.500
```

***

Compound: AlOs
Source: Alexandria via LeMat-Bulk
Functional: PBE
Structure: optimized geometry

Properties
Electronic total energy (eV/cell): -29.1
Symmetry: P6_3/mmc
Formation energy (eV/atom): 0.206
Fermi-level density of states (states/eV/f.u.): 0.96

Cell and atoms, written as POSCAR:
```
AlOs
1.0
4.000 0.000 0.000
-2.000 3.464 0.000
0.000 0.000 4.971
Al Os
2 2
direct
0.333 0.667 0.250
0.667 0.333 0.750
0.000 0.000 0.000
0.000 0.000 0.500
```

***

Compound: RbBaNb
Source: Alexandria via LeMat-Bulk
Functional: PBE
Structure: optimized geometry

Properties
Electronic total energy (eV/cell): -44.6
Symmetry: C2/m
Excess energy over the best structure of this formula in the dataset (meV per atom): 150.2
Formation energy (eV/atom): 0.605
Fermi-level density of states (states/eV/f.u.): 2.94

Cell and atoms, written as POSCAR:
```
RbBaNb
1.0
27.824 0.000 0.000
0.000 5.213 0.000
-0.030 0.000 4.254
Rb Ba Nb
4 4 4
direct
0.182 0.000 0.252
0.318 0.500 0.748
0.682 0.500 0.252
0.818 0.000 0.748
0.065 0.500 0.752
0.435 0.000 0.248
0.565 0.000 0.752
0.935 0.500 0.248
0.025 0.000 0.251
0.475 0.500 0.749
0.525 0.500 0.251
0.975 0.000 0.749
```

***

Compound: Ba2Tl3IrO6
Source: Alexandria via LeMat-Bulk
Functional: PBE
Structure: optimized geometry

Properties
Electronic total energy (eV/cell): -64.8
Symmetry: C2/m
Fermi-level density of states (states/eV/f.u.): 5.51
Uncorrected formation energy (eV per formula unit): -15.289

Cell and atoms, written as POSCAR:
```
Ba2Tl3IrO6
1.0
3.232 -5.639 0.000
3.232 5.639 0.000
-1.839 0.000 6.231
Ba Tl Ir O
2 3 1 6
direct
0.169 0.831 0.000
0.831 0.169 0.000
0.000 0.000 0.500
0.345 0.655 0.500
0.655 0.345 0.500
0.500 0.500 0.000
0.188 0.439 0.822
0.314 0.314 0.215
0.439 0.188 0.822
0.561 0.812 0.178
0.686 0.686 0.785
0.812 0.561 0.178
```